# 1
Below is Dy7Sn2C2 after structural relaxation, with properties calculated at the PBE level.

Summary:
D(E_F), states/eV/cell: 14.295
Formation enthalpy at 0 K, eV/atom: -0.263
Electronic total energy, eV per atom: -5.5960

Unit cell a=3.5099 b=14.7373 c=10.3700 alpha=90.00 beta=90.00 gamma=90.00
Last column: nearest neighbours and their distance in Å.
Space group Imm2 (No. 44)
Asymmetric unit:
Dy  0.0000  0.0000  0.0000 (multiplicity 2)  3 Sn 3.23-3.33, 10 Dy 3.49-3.55, 2 C 3.53
Dy  0.0000  0.1386  0.4362 (multiplicity 4)  2 C 2.54
Dy  0.0000  0.3090  0.6214 (multiplicity 4)  2 C 2.59
Dy  0.0000  0.3428  0.3145 (multiplicity 4)  2 C 2.53
Sn  0.0000  0.0000  0.6785 (multiplicity 2)  7 Dy 3.23-3.33, 2 Sn 3.51
Sn  0.0000  0.5000  0.7609 (multiplicity 2)  8 Dy 3.16-3.25, 2 Sn 3.51
C  0.0000  0.2370  0.9494 (multiplicity 4)  6 Dy 2.53-2.59


# 2
Below is Dy12Sn6C after structural relaxation, with properties calculated at the PBE level.

Summary:
D(E_F), states/eV/cell: 32.272
Formation enthalpy at 0 K, eV/atom: -0.524
Electronic total energy, eV per atom: -5.1805

Unit cell a=11.8606 b=11.8606 c=13.7444 alpha=90.00 beta=90.00 gamma=120.00
Last column: nearest neighbours and their distance in Å.
Space group R-3 (No. 148, hexagonal axes)
Asymmetric unit:
Dy  0.0286  0.8411  0.3878 (multiplicity 18)  4 Sn 3.11-3.22
Dy  0.0306  0.1814  0.8946 (multiplicity 18)  1 C 2.47
Sn  0.0034  0.6189  0.2488 (multiplicity 18)  8 Dy 3.11-3.28
C  0.0000  0.0000  0.0000 (multiplicity 3)  6 Dy 2.47


# 3
Below is Dy3SnC after structural relaxation, with properties calculated at the PBE level.

Summary:
D(E_F), states/eV/cell: 8.354
Formation enthalpy at 0 K, eV/atom: -0.455
Electronic total energy, eV per atom: -5.8615

Unit cell a=4.8354 b=4.9700 c=10.0248 alpha=90.00 beta=90.11 gamma=90.00
Last column: nearest neighbours and their distance in Å.
Space group P2_1/m (No. 11)
Asymmetric unit:
Dy  0.0006  0.2500  0.1214 (multiplicity 2)  3 C 2.49-2.59
Dy  0.0015  0.7500  0.3749 (multiplicity 2)  1 C 2.39
Dy  0.4994  0.2500  0.8624 (multiplicity 2)  2 C 2.42
Sn  0.4987  0.7500  0.6475 (multiplicity 2)  10 Dy 3.29-3.66
C  0.0006  0.7500  0.1365 (multiplicity 2)  6 Dy 2.39-2.59


# 4
Below is Dy6Sn3C after structural relaxation, with properties calculated at the PBE level.

Summary:
D(E_F), states/eV/cell: 15.974
Formation enthalpy at 0 K, eV/atom: -0.440
Electronic total energy, eV per atom: -5.3245

Unit cell a=11.5755 b=6.7541 c=7.2225 alpha=90.00 beta=104.73 gamma=90.00
Last column: nearest neighbours and their distance in Å.
Space group C2/m (No. 12)
Asymmetric unit:
Dy  0.1024  0.2480  0.3629 (multiplicity 8)  1 C 2.41
Dy  0.1632  0.0000  0.8165 (multiplicity 4)  1 C 2.57
Sn  0.0000  0.5000  0.0000 (multiplicity 2)  4 Dy 3.10, 2 Sn 3.13
Sn  0.1782  0.5000  0.7381 (multiplicity 4)  7 Dy 3.13-3.44, 1 Sn 3.13
C  0.0000  0.0000  0.5000 (multiplicity 2)  6 Dy 2.41-2.57


# 5
Below is Dy3SnC after structural relaxation, with properties calculated at the PBE level.

Summary:
D(E_F), states/eV/cell: 2.214
Formation enthalpy at 0 K, eV/atom: -0.630
Electronic total energy, eV per atom: -6.0367

Unit cell a=4.8915 b=4.8915 c=4.8915 alpha=90.00 beta=90.00 gamma=90.00
Last column: nearest neighbours and their distance in Å.
Space group Pm-3m (No. 221)
Asymmetric unit:
Dy  0.0000  0.0000  0.5000 (multiplicity 3)  2 C 2.45
Sn  0.5000  0.5000  0.5000 (multiplicity 1)  12 Dy 3.46
C  0.0000  0.0000  0.0000 (multiplicity 1)  6 Dy 2.45


# 6
Below is Dy12Sn5C2 after structural relaxation, with properties calculated at the PBE level.

Summary:
D(E_F), states/eV/cell: 34.364
Formation enthalpy at 0 K, eV/atom: -0.371
Electronic total energy, eV per atom: -5.3018

Unit cell a=16.8596 b=7.5034 c=9.4540 alpha=90.00 beta=106.48 gamma=90.00
Last column: nearest neighbours and their distance in Å.
Space group C2/m (No. 12)
Asymmetric unit:
Dy  0.0020  0.0000  0.1794 (multiplicity 4)  2 C 2.52
Dy  0.0023  0.5000  0.8299 (multiplicity 4)  2 C 2.48
Dy  0.1501  0.2497  0.5736 (multiplicity 8)  4 Sn 3.05-3.15
Dy  0.1526  0.2534  0.0768 (multiplicity 8)  1 C 2.47
Sn  0.0000  0.5000  0.5000 (multiplicity 2)  6 Dy 3.07-3.11
Sn  0.1854  0.0000  0.8393 (multiplicity 4)  7 Dy 3.05-3.21
Sn  0.1934  0.0000  0.3486 (multiplicity 4)  7 Dy 3.07-3.17
C  0.0000  0.2499  0.0000 (multiplicity 4)  6 Dy 2.47-2.52


# 7
Below is Dy6Sn3C2 after structural relaxation, with properties calculated at the PBE level.

Summary:
D(E_F), states/eV/cell: 11.000
Formation enthalpy at 0 K, eV/atom: -0.479
Electronic total energy, eV per atom: -5.7581

Unit cell a=4.7875 b=4.7875 c=24.8333 alpha=90.00 beta=90.00 gamma=90.00
Last column: nearest neighbours and their distance in Å.
Space group I4/mmm (No. 139)
Asymmetric unit:
Dy  0.0000  0.0000  0.1951 (multiplicity 4)  1 C 2.28
Dy  0.0000  0.5000  0.0839 (multiplicity 8)  2 C 2.44
Sn  0.0000  0.0000  0.3228 (multiplicity 4)  9 Dy 3.17-3.41
Sn  0.0000  0.0000  0.5000 (multiplicity 2)  8 Dy 3.17
C  0.0000  0.0000  0.1035 (multiplicity 4)  5 Dy 2.28-2.44


# 8
Below is Dy5Sn2C after structural relaxation, with properties calculated at the PBE level.

Summary:
D(E_F), states/eV/cell: 35.838
Formation enthalpy at 0 K, eV/atom: -0.083
Electronic total energy, eV per atom: -5.1131

Unit cell a=5.2051 b=16.0219 c=12.1223 alpha=90.00 beta=90.00 gamma=90.00
Last column: nearest neighbours and their distance in Å.
Space group Cmcm (No. 63)
Asymmetric unit:
Dy  0.0000  0.0736  0.1142 (multiplicity 8)  1 C 2.36
Dy  0.0000  0.2819  0.0866 (multiplicity 8)  1 C 2.58
Dy  0.0000  0.3068  0.7500 (multiplicity 4)  2 C 2.61
Sn  0.0000  0.1258  0.6258 (multiplicity 8)  1 Sn 3.01, 5 Dy 3.03-3.27
C  0.0000  0.1792  0.2500 (multiplicity 4)  6 Dy 2.36-2.61